1.
# La6Pr8Er

A relaxed La6Pr8Er crystal (PBE-GGA, the Alexandria database).

- formation energy (eV per atom) = 0.095
- crystal system = trigonal

Unit cell a=9.4123 b=9.4123 c=21.3930 alpha=90.00 beta=90.00 gamma=120.00
With the nearest neighbours (Å) after each atom.
Space group R-3 (No. 148, hexagonal axes)
Inequivalent atoms, fractional coordinates:
La 0.0508 0.2476 0.2090 x18  4 Pr 3.47-3.80, 1 Er 3.60, 2 La 3.69
Pr 0.0000 0.0000 0.0778 x6  4 Pr 3.33-3.55, 3 La 3.52
Pr 0.0804 0.5681 0.3062 x18  3 La 3.47-3.80, 5 Pr 3.55-3.60, 1 Er 3.64
Er 0.0000 0.0000 0.5000 x3  6 La 3.60, 6 Pr 3.64

=====

2.
# Ac2La3Pd4

A relaxed Ac2La3Pd4 crystal (PBE-GGA, the Alexandria database).

- formation energy (eV per atom) = -0.734
- crystal system = monoclinic

Unit cell a=7.9094 b=7.9589 c=8.5469 alpha=90.00 beta=108.60 gamma=90.00
With the nearest neighbours (Å) after each atom.
Space group P2_1/c (No. 14)
Inequivalent atoms, fractional coordinates:
Ac 0.1992 0.1742 0.0945 x4  6 Pd 3.20-3.47
La 0.2415 0.6603 0.2527 x4  6 Pd 2.98-3.19
La 0.5000 0.0000 0.5000 x2  6 Pd 3.05-3.39
Pd 0.0950 0.5372 0.8779 x4  4 La 2.98-3.19, 1 Pd 2.99, 2 Ac 3.26-3.33
Pd 0.4992 0.6313 0.6223 x4  1 Pd 2.96, 4 La 3.06-3.17, 1 Ac 3.20

=====

3.
# Ti3Ga2Hg

A relaxed Ti3Ga2Hg crystal (PBE-GGA, the Alexandria database).

- formation energy (eV per atom) = -0.323
- crystal system = tetragonal

Unit cell a=2.8627 b=2.8627 c=12.2278 alpha=90.00 beta=90.00 gamma=90.00
With the nearest neighbours (Å) after each atom.
Space group P4/mmm (No. 123)
Inequivalent atoms, fractional coordinates:
Ti 0.0000 0.0000 0.0000 x1  8 Ga 2.81, 4 Ti 2.86
Ti 0.0000 0.0000 0.3128 x2  4 Ga 2.76, 4 Ti 2.86, 4 Hg 3.06
Ga 0.5000 0.5000 0.1589 x2  8 Ti 2.76-2.81, 4 Ga 2.86
Hg 0.5000 0.5000 0.5000 x1  4 Hg 2.86, 8 Ti 3.06

=====

4.
# Mg3AlIr

A relaxed Mg3AlIr crystal (PBE-GGA, the Alexandria database).

- formation energy (eV per atom) = 0.191
- crystal system = cubic

Unit cell a=4.9697 b=4.9697 c=4.9697 alpha=90.00 beta=90.00 gamma=90.00
With the nearest neighbours (Å) after each atom.
Space group Pm-3m (No. 221)
Inequivalent atoms, fractional coordinates:
Mg 0.0000 0.0000 0.5000 x3  2 Ir 2.48
Al 0.5000 0.5000 0.5000 x1  12 Mg 3.51
Ir 0.0000 0.0000 0.0000 x1  6 Mg 2.48

=====

5.
# TmNi6BH

A relaxed TmNi6BH crystal (PBE-GGA, the Alexandria database).

- DFT total energy (eV/atom) = -5.6064
- crystal system = orthorhombic

Unit cell a=6.6980 b=6.7298 c=9.5579 alpha=90.00 beta=90.00 gamma=90.00
With the nearest neighbours (Å) after each atom.
Space group Imma (No. 74)
Inequivalent atoms, fractional coordinates:
Tm 0.0000 0.2500 0.1077 x4  6 Ni 2.84-2.88
Ni 0.0000 0.2500 0.4045 x4  2 B 1.91
Ni 0.0000 0.2500 0.8064 x4  2 H 1.76
Ni 0.2109 0.0584 0.6256 x16  1 H 1.77, 1 B 1.89
B 0.0000 0.0000 0.5000 x4  6 Ni 1.89-1.91
H 0.2500 0.2500 0.7500 x4  6 Ni 1.76-1.77

=====

6.
# RbB2MoI

A relaxed RbB2MoI crystal (PBE-GGA, the Alexandria database).

- crystal system = tetragonal
- formation energy without anion corrections (meV per atom) = 842

Unit cell a=4.4563 b=4.4563 c=5.6531 alpha=90.00 beta=90.00 gamma=90.00
With the nearest neighbours (Å) after each atom.
Space group P4/mmm (No. 123)
Inequivalent atoms, fractional coordinates:
Rb 0.0000 0.0000 0.0000 x1  4 I 3.15
B 0.0000 0.5000 0.5000 x2  2 Mo 2.23
Mo 0.5000 0.5000 0.5000 x1  4 B 2.23
I 0.5000 0.5000 0.0000 x1  2 Mo 2.83, 4 Rb 3.15

=====

7.
# CaTeBr

A relaxed CaTeBr crystal (PBE-GGA, the Alexandria database).

- crystal system = cubic
- formation energy without anion corrections (meV per atom) = -1077

Unit cell a=7.4269 b=7.4269 c=7.4269 alpha=90.00 beta=90.00 gamma=90.00
With the nearest neighbours (Å) after each atom.
Space group F-43m (No. 216)
Inequivalent atoms, fractional coordinates:
Ca 0.0000 0.0000 0.0000 x4  4 Te 3.22, 4 Br 3.22
Te 0.2500 0.2500 0.2500 x4  4 Ca 3.22
Br 0.2500 0.2500 0.7500 x4  4 Ca 3.22

=====

8.
# Zr3GeH2

A relaxed Zr3GeH2 crystal (PBE-GGA, the Alexandria database).

- DFT total energy (eV/atom) = -6.5023
- crystal system = monoclinic

Unit cell a=5.6639 b=3.5301 c=9.6093 alpha=90.00 beta=96.15 gamma=90.00
With the nearest neighbours (Å) after each atom.
Space group P2_1/m (No. 11)
Inequivalent atoms, fractional coordinates:
Zr 0.0889 0.2500 0.3089 x2  2 H 2.08-2.15
Zr 0.2177 0.2500 0.9306 x2  3 H 2.04-2.28
Zr 0.3466 0.2500 0.6141 x2  3 H 2.08-2.15
Ge 0.3334 0.7500 0.1543 x2  6 Zr 2.72-2.80, 3 H 2.76-2.79
H 0.0389 0.7500 0.9018 x2  4 Zr 2.04-2.28
H 0.4451 0.2500 0.4115 x2  4 Zr 2.08-2.15